Record 1
A relaxed VCr4W crystal, computed with GGA-PBE.

abc: 8.3637 4.7644 5.0249
angles: 90.00 125.06 90.00
Space group C2/m (No. 12)
Unique sites:
V (0.0000, 0.0000, 0.0000) (multiplicity 2)
Cr (0.1214, 0.5000, 0.3692) (multiplicity 4)
Cr (0.2500, 0.2500, 0.0000) (multiplicity 4)
W (0.0000, 0.0000, 0.5000) (multiplicity 2)

---

Record 2
A relaxed VCrW2 crystal, computed with GGA-PBE.

abc: 2.6025 4.8642 10.0022
angles: 90.00 90.00 90.00
Space group Immm (No. 71)
Unique sites:
V (0.0000, 0.0000, 0.0000) (multiplicity 2)
Cr (0.0000, 0.0000, 0.5000) (multiplicity 2)
W (0.0000, 0.0000, 0.2618) (multiplicity 4)

---

Record 3
A relaxed V2CrW2 crystal, computed with GGA-PBE.

abc: 4.9078 4.6162 6.5153
angles: 90.00 97.22 90.00
Space group P2_1/m (No. 11)
Unique sites:
V (0.1471, 0.2500, 0.0755) (multiplicity 2)
V (0.2683, 0.7500, 0.7659) (multiplicity 2)
Cr (0.5000, 0.0000, 0.5000) (multiplicity 2)
W (0.0137, 0.2500, 0.6255) (multiplicity 2)
W (0.4343, 0.7500, 0.1454) (multiplicity 2)

---

Number 1: E_tot -9.7519 eV per atom. Number 2: E_tot -10.2471 eV per atom. Number 3: E_tot -10.5431 eV per atom.